1.
The following is a PBE calculation of a relaxed structure of MnCdHSe2, from the Alexandria database. Values from VASP.

```
&SYSTEM
  ibrav = 0, nat = 10, ntyp = 4
/
ATOMIC_SPECIES
Mn 54.94 Mn.upf
Cd 112.41 Cd.upf
H 1.01 H.upf
Se 78.96 Se.upf
CELL_PARAMETERS angstrom
3.9314 0.0000 0.0000
0.0000 4.7022 0.0000
0.0000 0.0000 10.3232
ATOMIC_POSITIONS crystal
Mn 0.0000 0.0000 0.0000
Mn 0.0000 0.5000 0.5000
Cd 0.5000 0.0000 0.7816
Cd 0.5000 0.5000 0.2816
H 0.0000 0.0000 0.8317
H 0.0000 0.5000 0.3317
Se 0.0000 0.0000 0.4543
Se 0.0000 0.5000 0.9543
Se 0.5000 0.0000 0.1438
Se 0.5000 0.5000 0.6438
```

Calculated total energy ... -0.30927 Ry/atom
Total magnetization ... 6.515 Bohr magnetons per cell
Space-group type ... No. 38


2.
The following is a PBE calculation of a relaxed structure of Pr5ZnTe4, from the Alexandria database. Values from VASP.

```
&SYSTEM
  ibrav = 0, nat = 10, ntyp = 3
/
ATOMIC_SPECIES
Pr 140.91 Pr.upf
Zn 65.41 Zn.upf
Te 127.60 Te.upf
CELL_PARAMETERS angstrom
-5.0263 5.0263 3.1846
5.0263 -5.0263 3.1846
5.0263 5.0263 -3.1846
ATOMIC_POSITIONS crystal
Pr 0.0000 0.0000 0.0000
Pr 0.2111 0.4020 0.6131
Pr 0.4020 0.7889 0.1909
Pr 0.5980 0.2111 0.8091
Pr 0.7889 0.5980 0.3869
Zn 0.5000 0.5000 0.0000
Te 0.0948 0.6971 0.7918
Te 0.3029 0.0948 0.3977
Te 0.6971 0.9052 0.6023
Te 0.9052 0.3029 0.2082
```

Energy relative to the elements, uncorrected ... -12.3 eV per formula unit
Calculated total energy ... -0.36756 Ry/atom
Total magnetization ... 0.000 Bohr magnetons per cell
Space-group type ... No. 87


Q: What is the formula in the first record?
A: MnCdHSe2


Q: What is the calculated total energy in the second record?
A: -0.36756 Ry/atom


Q: calculated total energy of number 1 (MnCdHSe2)?
A: -0.30927 Ry/atom